Record 1
Computed, not measured: an optimized crystal structure of TiNbIn2 at the PBE level of DFT.

POSCAR file:
```
TiNbIn2
1.0
1.5416 0.8900 9.7783
-1.5416 0.8900 9.7783
0.0000 -1.7800 9.7783
Ti Nb In
1 1 2
Direct
0.0000 0.0000 0.0000
0.5000 0.5000 0.5000
0.2504 0.2504 0.2504
0.7496 0.7496 0.7496
```

Uncorrected energy   -5.779 eV/atom
Polymorph energy (0 for the lowest one)   0.1483 eV per atom
Density of states at the Fermi level   3.45 states/eV per cell
Symmetry   R-3m
Calculated density   7.64 g cm⁻³
ΔH_f (0 K)   0.081 eV per atom

Record 2
Computed, not measured: an optimized crystal structure of In2NiAg at the PBE level of DFT.

POSCAR file:
```
In2NiAg
1.0
3.2502 -3.2858 0.0000
3.2502 3.2858 0.0000
0.0000 0.0000 3.4230
In Ni Ag
2 1 1
Direct
0.0000 0.5000 0.0000
0.5000 0.0000 0.0000
0.0000 0.0000 0.5000
0.5000 0.5000 0.5000
```

Uncorrected energy   -3.460 eV/atom
Polymorph energy (0 for the lowest one)   0.1003 eV per atom
Density of states at the Fermi level   1.24 states/eV per cell
Symmetry   Cmmm
Calculated density   9.00 g cm⁻³
ΔH_f (0 K)   0.067 eV per atom

Record 3
Computed, not measured: an optimized crystal structure of SiOsPt2 at the PBE level of DFT.

POSCAR file:
```
SiOsPt2
1.0
3.7769 0.0000 0.0000
0.0000 3.7769 0.0000
0.0000 0.0000 4.0673
Si Os Pt
1 1 2
Direct
0.0000 0.0000 0.0000
0.5000 0.5000 0.0000
0.0000 0.5000 0.5000
0.5000 0.0000 0.5000
```

Uncorrected energy   -7.263 eV/atom
Density of states at the Fermi level   2.82 states/eV per cell
Symmetry   P4/mmm
Calculated density   17.41 g cm⁻³
Formation energy (no corrections)   -0.08 eV per atom